The following is a DFT calculation (GGA-PBE) of crystalline BaCa2Sn2 at its relaxed geometry.

The uncorrected energy is -3.288 eV/atom.

The space group is C2/m (No. 12) and the conventional cell measures 13.865, 4.455 and 6.279 Å, with angles of 90.00, 100.61 and 90.00 degrees. The asymmetric unit holds Ba at (0.000, 0.000, 0.000), Ca at (0.145, 0.500, 0.585) and Sn at (0.211, 0.500, 0.117).